1.
Density functional theory data (PBE-GGA) for a relaxed structure of Sr2YTl.

```
Sr2YTl
1.0
-0.908 -11.950 -0.564
2.990 -11.608 -0.506
0.977 -11.613 2.850
Tl Y Sr
1 1 2
Direct
0.750 0.750 0.750
0.250 0.250 0.250
0.008 0.008 0.008
0.492 0.492 0.492
```

The space group is R-3m. The excess energy over the best structure of this formula in the dataset comes out at 139 meV per atom. The formation energy is 0.006 eV per atom.

=====

2.
Density functional theory data (PBE-GGA) for a relaxed structure of Dy2CoIr.

```
Dy2CoIr
1.0
-2.126 3.170 -1.299
-4.681 -2.439 1.707
3.210 4.534 5.809
Co Dy Ir
2 4 2
Direct
0.750 0.635 0.785
0.250 0.365 0.215
0.750 0.209 0.429
0.750 0.207 0.925
0.250 0.791 0.571
0.250 0.793 0.075
0.250 0.371 0.719
0.750 0.629 0.281
```

The space group is P2_1/m. The formation energy is -0.521 eV per atom.

=====

3.
Density functional theory data (PBE-GGA) for a relaxed structure of EuTmLu2.

```
EuTmLu2
1.0
3.542 0.000 0.000
0.000 3.542 0.000
0.000 0.000 10.141
Tm Lu Eu
1 2 1
Direct
0.500 0.500 0.000
0.000 0.000 0.232
0.000 0.000 0.768
0.500 0.500 0.500
```

The space group is P4/mmm. The excess energy over the best structure of this formula in the dataset comes out at 0 meV per atom. The formation energy is 0.081 eV per atom.

=====

4.
Density functional theory data (PBE-GGA) for a relaxed structure of KRb2NaS.

```
KRb2NaS
1.0
-4.120 -4.472 -2.430
-2.010 -1.443 6.062
-4.428 4.319 -0.441
Rb Na K S
2 1 1 1
Direct
0.000 0.500 0.000
0.500 0.000 0.000
0.500 0.500 0.500
0.000 0.000 0.500
0.000 0.000 0.000
```

The space group is P4/mmm. The excess energy over the best structure of this formula in the dataset comes out at 0 meV per atom.

=====

5.
Density functional theory data (PBE-GGA) for a relaxed structure of OsRuRh3.

```
OsRuRh3
1.0
2.661 0.000 0.000
0.000 6.552 0.000
0.000 0.000 8.907
Rh Os Ru
6 2 2
Direct
0.500 0.618 0.106
0.500 0.618 0.394
0.500 0.000 0.500
0.500 0.382 0.894
0.500 0.000 0.000
0.500 0.382 0.606
0.000 0.085 0.750
0.000 0.915 0.250
0.500 0.735 0.750
0.500 0.265 0.250
```

The space group is Pmma. The excess energy over the best structure of this formula in the dataset comes out at 30 meV per atom. The formation energy is 0.497 eV per atom.

=====

6.
Density functional theory data (PBE-GGA) for a relaxed structure of ScTl2TcCl.

```
ScTl2TcCl
1.0
5.493 0.000 0.000
0.000 4.713 0.000
0.000 0.000 5.493
Tc Sc Tl Cl
1 1 2 1
Direct
0.500 0.500 0.500
0.000 0.500 0.000
0.500 0.000 0.000
0.000 0.000 0.500
0.000 0.000 0.000
```

The space group is P4/mmm. The calculation puts the total DFT energy (no corrections) at -3.916 eV per atom.

=====

7.
Density functional theory data (PBE-GGA) for a relaxed structure of MgGeO2F.

```
MgGeO2F
1.0
3.975 0.000 0.000
0.000 3.975 0.000
0.000 0.000 3.802
O F Ge Mg
2 1 1 1
Direct
0.000 0.500 0.000
0.500 0.000 0.000
0.000 0.000 0.500
0.500 0.500 0.500
0.000 0.000 0.000
```

The space group is P4/mmm. The calculation puts the total DFT energy (no corrections) at -5.016 eV per atom.

=====

8.
Density functional theory data (PBE-GGA) for a relaxed structure of KAlO2.

```
KAlO2
1.0
5.583 0.000 0.000
0.000 5.583 0.000
0.000 0.000 7.778
O Al K
8 4 4
Direct
0.414 0.744 0.423
0.086 0.244 0.827
0.244 0.086 0.173
0.744 0.414 0.577
0.586 0.256 0.923
0.756 0.914 0.673
0.914 0.756 0.327
0.256 0.586 0.077
0.212 0.788 0.250
0.788 0.212 0.750
0.712 0.712 0.500
0.288 0.288 0.000
0.225 0.775 0.750
0.775 0.225 0.250
0.275 0.275 0.500
0.725 0.725 0.000
```

The space group is P4_12_12. The calculation puts the total DFT energy (no corrections) at -6.255 eV per atom.

=====

9.
Density functional theory data (PBE-GGA) for a relaxed structure of Sr3ErPb12.

```
Sr3ErPb12
1.0
-0.235 3.859 3.146
-3.570 2.065 -2.800
-13.941 -9.577 10.709
Pb Sr Er
12 3 1
Direct
0.500 0.000 0.373
0.500 0.500 0.752
0.500 0.000 0.119
0.500 0.000 0.627
0.500 0.500 0.248
0.500 0.500 0.500
0.000 0.500 0.119
0.000 0.500 0.627
0.000 0.500 0.881
0.000 0.500 0.373
0.500 0.500 0.000
0.500 0.000 0.881
0.000 0.000 0.245
0.000 0.000 0.755
0.000 0.000 0.500
0.000 0.000 0.000
```

The space group is P4/mmm. The formation energy is -0.323 eV per atom.

=====

10.
Density functional theory data (PBE-GGA) for a relaxed structure of MgCu2Tc.

```
MgCu2Tc
1.0
-0.431 -1.206 -2.373
-1.453 -2.818 1.696
-5.216 2.496 -0.321
Mg Cu Tc
1 2 1
Direct
0.000 0.000 0.485
0.500 0.500 0.233
0.000 0.000 0.010
0.500 0.500 0.771
```

The space group is Pmm2. The formation energy is 0.223 eV per atom.

=====

11.
Density functional theory data (PBE-GGA) for a relaxed structure of PmDyErIn.

```
PmDyErIn
1.0
-3.882 -0.189 3.843
-3.441 -2.272 -3.588
4.881 -2.286 0.931
Er Pm In Dy
1 1 1 1
Direct
0.000 0.000 0.000
0.750 0.250 0.500
0.250 0.750 0.500
0.500 0.500 0.000
```

The space group is F-43m. The excess energy over the best structure of this formula in the dataset comes out at 48 meV per atom. The formation energy is -0.094 eV per atom.

=====

12.
Density functional theory data (PBE-GGA) for a relaxed structure of LaSc2.

```
LaSc2
1.0
5.992 0.021 -0.020
3.199 5.066 0.020
-4.226 -3.211 2.781
Sc La
2 1
Direct
0.676 0.676 0.000
0.324 0.324 0.000
0.000 0.000 0.000
```

The space group is Immm. The excess energy over the best structure of this formula in the dataset comes out at 13 meV per atom. The formation energy is 0.074 eV per atom.